1.
Material: NaY2FeAs
Method: DFT, PBE-GGA
State: relaxed

Unit cell a=5.3456 b=5.3456 c=4.2917 alpha=90.00 beta=90.00 gamma=90.00
Space group P4/mmm (No. 123)
Inequivalent atoms, fractional coordinates:
Na: 0.0000 0.0000 0.0000
Y: 0.0000 0.5000 0.0000
Fe: 0.0000 0.0000 0.5000
As: 0.5000 0.5000 0.5000

## Properties
Crystal system: tetragonal
DFT total energy in eV per atom: -4.56
Energy of formation in meV/atom: 907.4

***

2.
Material: LiTa2Be2
Method: DFT, PBE-GGA
State: relaxed

Unit cell a=6.5871 b=6.5871 c=3.0863 alpha=90.00 beta=90.00 gamma=90.00
Space group P4/mbm (No. 127)
Inequivalent atoms, fractional coordinates:
Li: 0.0000 0.0000 0.0000
Ta: 0.1807 0.3193 0.5000
Be: 0.1122 0.6122 0.0000

## Properties
Crystal system: tetragonal
DFT total energy in eV per atom: -6.45
Energy of formation in meV/atom: 168.9

***

3.
Material: IrPt3Br
Method: DFT, PBE-GGA
State: relaxed

Unit cell a=4.8867 b=4.8867 c=4.8867 alpha=90.00 beta=90.00 gamma=90.00
Space group Pm-3m (No. 221)
Inequivalent atoms, fractional coordinates:
Ir: 0.0000 0.0000 0.0000
Pt: 0.0000 0.0000 0.5000
Br: 0.5000 0.5000 0.5000

## Properties
Crystal system: cubic
DFT total energy in eV per atom: -4.39
E above lowest polymorph in meV per atom: 0.0
Formation energy from raw total energies in eV per atom: 1.338

***

4.
Material: TaHg
Method: DFT, PBE-GGA
State: relaxed

Unit cell a=4.1509 b=4.1509 c=8.9985 alpha=90.00 beta=90.00 gamma=90.00
Space group I4_1/amd (No. 141, origin choice 2)
Inequivalent atoms, fractional coordinates:
Ta: 0.0000 0.2500 0.3750
Hg: 0.0000 0.2500 0.8750

## Properties
Crystal system: tetragonal
DFT total energy in eV per atom: -5.58
Energy of formation in meV/atom: 501.0

***

5.
Material: PuAl2ZnPd4
Method: DFT, PBE-GGA
State: relaxed

Unit cell a=4.2974 b=4.2974 c=25.8562 alpha=90.00 beta=90.00 gamma=120.00
Space group R-3m (No. 166, hexagonal axes)
Inequivalent atoms, fractional coordinates:
Pu: 0.0000 0.0000 0.0000
Al: 0.0000 0.0000 0.2373
Zn: 0.0000 0.0000 0.5000
Pd: 0.0000 0.0000 0.1311
Pd: 0.0000 0.0000 0.4011

## Properties
Crystal system: trigonal
DFT total energy in eV per atom: -6.12
Energy of formation in meV/atom: -636.6

***

6.
Material: NpNbO6
Method: DFT, PBE-GGA
State: relaxed

Unit cell a=5.1257 b=9.5702 c=5.1244 alpha=90.00 beta=103.11 gamma=90.00
Space group C2/m (No. 12)
Inequivalent atoms, fractional coordinates:
Np: 0.0000 0.0000 0.0000
Nb: 0.0000 0.5000 0.5000
O: 0.2492 0.5000 0.2510
O: 0.2504 0.1311 0.2501

## Properties
Crystal system: monoclinic
DFT total energy in eV per atom: -8.96
E above lowest polymorph in meV per atom: 85.6
Formation energy from raw total energies in eV per atom: -2.363

***

7.
Material: PrNd2Ir9
Method: DFT, PBE-GGA
State: relaxed

Unit cell a=5.3896 b=5.3896 c=26.5537 alpha=90.00 beta=90.00 gamma=120.00
Space group R-3m (No. 166, hexagonal axes)
Inequivalent atoms, fractional coordinates:
Pr: 0.0000 0.0000 0.0000
Nd: 0.0000 0.0000 0.1396
Ir: 0.0000 0.0000 0.3321
Ir: 0.0000 0.0000 0.5000
Ir: 0.0034 0.5017 0.0809

## Properties
Crystal system: trigonal
DFT total energy in eV per atom: -8.35
Energy of formation in meV/atom: -508.6

***

8.
Material: HfZr2PaN4
Method: DFT, PBE-GGA
State: relaxed

Unit cell a=5.6890 b=3.3020 c=5.8131 alpha=90.00 beta=109.04 gamma=90.00
Space group P2/m (No. 10)
Inequivalent atoms, fractional coordinates:
Hf: 0.0000 0.0000 0.0000
Zr: 0.5000 0.0000 0.5000
Zr: 0.5000 0.5000 0.0000
Pa: 0.0000 0.5000 0.5000
N: 0.2398 0.5000 0.2350
N: 0.2519 0.0000 0.7663

## Properties
Crystal system: monoclinic
DFT total energy in eV per atom: -10.41
Formation energy from raw total energies in eV per atom: -1.682

***

9.
Material: PrGa2Cu3
Method: DFT, PBE-GGA
State: relaxed

Unit cell a=4.1915 b=4.1915 c=13.7232 alpha=90.00 beta=90.00 gamma=120.00
Space group P6_3/mmc (No. 194)
Inequivalent atoms, fractional coordinates:
Pr: 0.0000 0.0000 0.2500
Ga: 0.3333 0.6667 0.1059
Cu: 0.0000 0.0000 0.0000
Cu: 0.3333 0.6667 0.5776

## Properties
Crystal system: hexagonal
DFT total energy in eV per atom: -4.18
Energy of formation in meV/atom: -325.5

***

10.
Material: CaMoC3
Method: DFT, PBE-GGA
State: relaxed

Unit cell a=4.1264 b=4.1264 c=4.1264 alpha=90.00 beta=90.00 gamma=90.00
Space group Pm-3m (No. 221)
Inequivalent atoms, fractional coordinates:
Ca: 0.0000 0.0000 0.0000
Mo: 0.5000 0.5000 0.5000
C: 0.0000 0.0000 0.5000

## Properties
Crystal system: cubic
DFT total energy in eV per atom: -4.69
E above lowest polymorph in meV per atom: 2378.1
Energy of formation in meV/atom: 3408.2

***

11.
Material: Tb2Pm7Pr3
Method: DFT, PBE-GGA
State: relaxed

Unit cell a=5.9709 b=3.6386 c=19.2439 alpha=90.00 beta=93.04 gamma=90.00
Space group P2/m (No. 10)
Inequivalent atoms, fractional coordinates:
Tb: 0.2099 0.0000 0.2948
Pm: 0.1872 0.5000 0.1452
Pm: 0.2431 0.0000 0.4639
Pm: 0.3110 0.0000 0.8209
Pm: 0.5000 0.5000 0.0000
Pr: 0.0000 0.0000 0.0000
Pr: 0.2811 0.5000 0.6338

## Properties
Crystal system: monoclinic
DFT total energy in eV per atom: -4.65
E above lowest polymorph in meV per atom: 9.7
Energy of formation in meV/atom: 83.8

***

12.
Material: I2Br3Cl4
Method: DFT, PBE-GGA
State: relaxed

Unit cell a=16.9504 b=19.9543 c=5.8281 alpha=90.00 beta=106.10 gamma=90.00
Space group C2/c (No. 15)
Inequivalent atoms, fractional coordinates:
I: 0.1441 0.1341 0.0492
Br: 0.0000 0.0701 0.7500
Br: 0.2170 0.0047 0.0573
Cl: 0.0766 0.2403 0.0493
Cl: 0.2278 0.3255 0.6912

## Properties
Crystal system: monoclinic
DFT total energy in eV per atom: -1.80
Formation energy from raw total energies in eV per atom: -0.077

***

13.
Material: Tm3Th3Sc2
Method: DFT, PBE-GGA
State: relaxed

Unit cell a=4.9180 b=4.9631 c=19.3365 alpha=90.00 beta=90.00 gamma=90.00
Space group Immm (No. 71)
Inequivalent atoms, fractional coordinates:
Tm: 0.0000 0.0000 0.0000
Tm: 0.0000 0.5000 0.1305
Th: 0.0000 0.0000 0.5000
Th: 0.0000 0.5000 0.3705
Sc: 0.0000 0.0000 0.2504

## Properties
Crystal system: orthorhombic
DFT total energy in eV per atom: -6.00
E above lowest polymorph in meV per atom: 2.4
Energy of formation in meV/atom: 37.2

***

14.
Material: LiHfInRu
Method: DFT, PBE-GGA
State: relaxed

Unit cell a=6.4913 b=6.4913 c=6.4913 alpha=90.00 beta=90.00 gamma=90.00
Space group F-43m (No. 216)
Inequivalent atoms, fractional coordinates:
Li: 0.0000 0.0000 0.0000
Hf: 0.2500 0.2500 0.2500
In: 0.2500 0.2500 0.7500
Ru: 0.0000 0.0000 0.5000

## Properties
Crystal system: cubic
DFT total energy in eV per atom: -6.25
Energy of formation in meV/atom: -278.4

***

15.
Material: CeNdHoAg
Method: DFT, PBE-GGA
State: relaxed

Unit cell a=7.5678 b=7.5678 c=7.5678 alpha=90.00 beta=90.00 gamma=90.00
Space group F-43m (No. 216)
Inequivalent atoms, fractional coordinates:
Ce: 0.0000 0.0000 0.0000
Nd: 0.2500 0.2500 0.2500
Ho: 0.2500 0.2500 0.7500
Ag: 0.0000 0.0000 0.5000

## Properties
Crystal system: cubic
DFT total energy in eV per atom: -4.40
Energy of formation in meV/atom: 134.0

***

16.
Material: KCaCN2
Method: DFT, PBE-GGA
State: relaxed

Unit cell a=5.2078 b=5.7841 c=7.1310 alpha=90.00 beta=91.53 gamma=90.00
Space group P2/c (No. 13)
Inequivalent atoms, fractional coordinates:
K: 0.0000 0.0125 0.2500
Ca: 0.5000 0.4964 0.7500
C: 0.5000 0.0000 0.0000
N: 0.4989 0.2142 0.4977

## Properties
Crystal system: monoclinic
DFT total energy in eV per atom: -6.34
Formation energy from raw total energies in eV per atom: -0.544

***

17.
Material: KZn2PtAu
Method: DFT, PBE-GGA
State: relaxed

Unit cell a=4.8900 b=4.8900 c=5.3387 alpha=90.00 beta=90.00 gamma=90.00
Space group P4/mmm (No. 123)
Inequivalent atoms, fractional coordinates:
K: 0.0000 0.0000 0.0000
Zn: 0.0000 0.5000 0.5000
Pt: 0.5000 0.5000 0.5000
Au: 0.5000 0.5000 0.0000

## Properties
Crystal system: tetragonal
DFT total energy in eV per atom: -2.81
Energy of formation in meV/atom: -220.6

***

18.
Material: Rb3NpAl2O8
Method: DFT, PBE-GGA
State: relaxed

Unit cell a=5.7879 b=5.7879 c=8.6594 alpha=90.00 beta=90.00 gamma=120.00
Space group P-3m1 (No. 164)
Inequivalent atoms, fractional coordinates:
Rb: 0.0000 0.0000 0.0000
Rb: 0.3333 0.6667 0.7829
Np: 0.0000 0.0000 0.5000
Al: 0.3333 0.6667 0.2889
O: 0.1658 0.3316 0.3621
O: 0.3333 0.6667 0.0910

## Properties
Crystal system: trigonal
DFT total energy in eV per atom: -6.84
Formation energy from raw total energies in eV per atom: -2.343

***

19.
Material: K2TbNdO4
Method: DFT, PBE-GGA
State: relaxed

Unit cell a=6.1942 b=3.5768 c=6.6196 alpha=90.00 beta=108.13 gamma=90.00
Space group P2/m (No. 10)
Inequivalent atoms, fractional coordinates:
K: 0.0000 0.0000 0.0000
K: 0.5000 0.5000 0.0000
Tb: 0.0000 0.5000 0.5000
Nd: 0.5000 0.0000 0.5000
O: 0.2220 0.0000 0.6876
O: 0.2622 0.5000 0.3104

## Properties
Crystal system: monoclinic
DFT total energy in eV per atom: -6.60
Formation energy from raw total energies in eV per atom: -2.672

***

20.
Material: Pr8GaNi2
Method: DFT, PBE-GGA
State: relaxed

Unit cell a=18.5621 b=5.2620 c=6.9942 alpha=90.00 beta=110.66 gamma=90.00
Space group C2/m (No. 12)
Inequivalent atoms, fractional coordinates:
Pr: 0.0328 0.0000 0.2861
Pr: 0.0941 0.5000 0.9776
Pr: 0.1799 0.5000 0.5085
Pr: 0.1958 0.0000 0.8467
Ga: 0.0000 0.5000 0.5000
Ni: 0.1694 0.0000 0.2233

## Properties
Crystal system: monoclinic
DFT total energy in eV per atom: -4.98
E above lowest polymorph in meV per atom: 0.0
Energy of formation in meV/atom: -178.8